# CsRb2V | Alexandria | GGA-PBE | relaxed
# **Formation energy**: 0.92 eV/atom
# **E_tot**: -2.06 eV/atom
data_CsRb2V
_chemical_formula_sum 'Cs4 Rb8 V4'
_symmetry_space_group_name_H-M 'F m -3 m'
_symmetry_Int_Tables_number 225
_symmetry_space_group_name_Hall '-F 4 2 3'
_cell_length_a 9.827
_cell_length_b 9.827
_cell_length_c 9.827
_cell_angle_alpha 90.00
_cell_angle_beta 90.00
_cell_angle_gamma 90.00
loop_
_atom_site_label
_atom_site_type_symbol
_atom_site_fract_x
_atom_site_fract_y
_atom_site_fract_z
_atom_site_occupancy
Cs1 Cs 0.000 0.000 0.000 1
Rb1 Rb 0.250 0.250 0.250 1
V1 V 0.000 0.000 0.500 1

# CoReSe2 | Alexandria | GGA-PBE | relaxed
# **Polymorph energy (0 for the lowest one)**: 24.8 kJ per mole of atoms
# **E_tot**: -6.46 eV/atom
# **Formation energy without anion corrections**: 171 meV/atom
data_CoReSe2
_chemical_formula_sum 'Co2 Re2 Se4'
_symmetry_space_group_name_H-M 'C 1 m 1'
_symmetry_Int_Tables_number 8
_symmetry_space_group_name_Hall 'C -2y'
_cell_length_a 8.925
_cell_length_b 3.164
_cell_length_c 6.493
_cell_angle_alpha 90.00
_cell_angle_beta 93.87
_cell_angle_gamma 90.00
loop_
_atom_site_label
_atom_site_type_symbol
_atom_site_fract_x
_atom_site_fract_y
_atom_site_fract_z
_atom_site_occupancy
Co1 Co 0.000 0.000 0.000 1
Re1 Re 0.218 0.500 0.998 1
Se1 Se 0.155 0.000 0.720 1
Se2 Se 0.396 0.000 0.219 1

Density of states at the Fermi level across the listed records, respectively: 11.703, 2.418 states/eV/f.u..